DFT (GGA-PBE) results for a relaxed Sm2Er8Tc crystal.

Cell lengths 18.1806, 5.4071, 6.6136 Å; angles 90.00, 92.96, 90.00 degrees
Space group C2/m (No. 12)
Unique sites:
Sm 0.2270 0.0000 0.1667 (multiplicity 4)
Er 0.0326 0.0000 0.2670 (multiplicity 4)
Er 0.0803 0.5000 0.8782 (multiplicity 4)
Er 0.1429 0.5000 0.3825 (multiplicity 4)
Er 0.1609 0.0000 0.6648 (multiplicity 4)
Tc 0.0000 0.5000 0.5000 (multiplicity 2)

Values from the calculation:
Crystal system: monoclinic
Density of states at the Fermi level (states/eV/f.u.): 16.29
Density (g/cm³): 8.88
Formation enthalpy at 0 K (meV/atom): 14